DFT (PBE+U) results for an optimized crystal structure of Li2PuNi3O6.

a = 5.3073 Å, b = 9.2082 Å, c = 5.2877 Å
α = 90.00°, β = 109.26°, γ = 90.00°
Space group C2/m (No. 12)
Asymmetric unit:
Li 0.0000 0.1664 0.0000 x4
Pu 0.0000 0.5000 0.0000 x2
Ni 0.0000 0.0000 0.5000 x2
Ni 0.0000 0.3291 0.5000 x4
O 0.2441 0.1671 0.7365 x8
O 0.2452 0.5000 0.7345 x4

Properties
The spin magnetization is 2.00 μB/f.u. The density of states at the Fermi level is 1.5 states/eV/f.u. As for the total DFT energy (no corrections): -153.6 eV/cell.